The following is a DFT calculation (PBE-GGA) of crystalline NbGeBH2 at its relaxed geometry.

VASP energy (eV for the cell shown): -25.05
SG: P4/mmm (123)

Unit cell a=3.306 b=3.306 c=5.712 alpha=90.00 beta=90.00 gamma=90.00
Element x y z (fractional)
Nb (0.000, 0.000, 0.000)
Ge (0.000, 0.000, 0.500)
B (0.500, 0.500, 0.000)
H (0.000, 0.500, 0.500)
H (0.500, 0.000, 0.500)


The following is a DFT calculation (PBE-GGA) of crystalline GeB2H3Rh6 at its relaxed geometry.

VASP energy (eV for the cell shown): -74.22
SG: C2/m (12)

Unit cell a=7.374 b=7.374 c=6.277 alpha=111.31 beta=111.31 gamma=23.14
Element x y z (fractional)
Ge (0.000, 0.000, 0.000)
B (0.288, 0.288, 0.984)
B (0.712, 0.712, 0.016)
H (0.000, 0.000, 0.500)
H (0.314, 0.314, 0.551)
H (0.686, 0.686, 0.449)
Rh (0.128, 0.128, 0.778)
Rh (0.212, 0.212, 0.269)
Rh (0.448, 0.448, 0.657)
Rh (0.552, 0.552, 0.343)
Rh (0.788, 0.788, 0.731)
Rh (0.872, 0.872, 0.222)


The following is a DFT calculation (PBE-GGA) of crystalline TiGeB2H at its relaxed geometry.

VASP energy (eV for the cell shown): -25.50
SG: P4/mmm (123)

Unit cell a=3.656 b=3.656 c=3.568 alpha=90.00 beta=90.00 gamma=90.00
Element x y z (fractional)
Ti (0.000, 0.000, 0.000)
Ge (0.500, 0.500, 0.000)
B (0.000, 0.500, 0.500)
B (0.500, 0.000, 0.500)
H (0.500, 0.500, 0.500)


The following is a DFT calculation (PBE-GGA) of crystalline HfGeB3 at its relaxed geometry.

Calculated formation energy (eV/atom): 1.72
SG: Pm-3m (221)

Unit cell a=4.437 b=4.437 c=4.437 alpha=90.00 beta=90.00 gamma=90.00
Element x y z (fractional)
Hf (0.000, 0.000, 0.000)
Ge (0.500, 0.500, 0.500)
B (0.000, 0.000, 0.500)
B (0.000, 0.500, 0.000)
B (0.500, 0.000, 0.000)


The following is a DFT calculation (PBE-GGA) of crystalline HfGe2B2 at its relaxed geometry.

Calculated formation energy (eV/atom): 0.65
SG: I4/mmm (139)

Unit cell a=4.935 b=4.935 c=4.935 alpha=130.02 beta=130.02 gamma=73.37
Element x y z (fractional)
Hf (0.000, 0.000, 0.000)
Ge (0.343, 0.343, 0.000)
Ge (0.657, 0.657, 0.000)
B (0.250, 0.750, 0.500)
B (0.750, 0.250, 0.500)


The following is a DFT calculation (PBE-GGA) of crystalline HfGeB3 at its relaxed geometry.

Calculated formation energy (eV/atom): 1.40
SG: Pm-3m (221)

Unit cell a=4.034 b=4.034 c=4.034 alpha=90.00 beta=90.00 gamma=90.00
Element x y z (fractional)
Hf (0.000, 0.000, 0.000)
Ge (0.500, 0.500, 0.500)
B (0.000, 0.500, 0.500)
B (0.500, 0.000, 0.500)
B (0.500, 0.500, 0.000)


The following is a DFT calculation (PBE-GGA) of crystalline HfGe3B at its relaxed geometry.

Calculated formation energy (eV/atom): 1.36
SG: Pm-3m (221)

Unit cell a=5.146 b=5.146 c=5.146 alpha=90.00 beta=90.00 gamma=90.00
Element x y z (fractional)
Hf (0.000, 0.000, 0.000)
Ge (0.000, 0.000, 0.500)
Ge (0.000, 0.500, 0.000)
Ge (0.500, 0.000, 0.000)
B (0.500, 0.500, 0.500)


The following is a DFT calculation (PBE-GGA) of crystalline HfGe2B2 at its relaxed geometry.

Calculated formation energy (eV/atom): 0.82
SG: P4/mbm (127)

Unit cell a=6.684 b=6.684 c=3.130 alpha=90.00 beta=90.00 gamma=90.00
Element x y z (fractional)
Hf (0.000, 0.000, 0.000)
Hf (0.500, 0.500, 0.000)
Ge (0.132, 0.368, 0.000)
Ge (0.368, 0.868, 0.000)
Ge (0.632, 0.132, 0.000)
Ge (0.868, 0.632, 0.000)
B (0.143, 0.643, 0.500)
B (0.357, 0.143, 0.500)
B (0.643, 0.857, 0.500)
B (0.857, 0.357, 0.500)


The following is a DFT calculation (PBE-GGA) of crystalline HfGe3B at its relaxed geometry.

Calculated formation energy (eV/atom): 0.62
SG: Pm-3m (221)

Unit cell a=4.399 b=4.399 c=4.399 alpha=90.00 beta=90.00 gamma=90.00
Element x y z (fractional)
Hf (0.000, 0.000, 0.000)
Ge (0.000, 0.500, 0.500)
Ge (0.500, 0.000, 0.500)
Ge (0.500, 0.500, 0.000)
B (0.500, 0.500, 0.500)


The following is a DFT calculation (PBE-GGA) of crystalline Hf4Ge2B at its relaxed geometry.

Calculated formation energy (eV/atom): -0.39
SG: I4/mmm (139)

Unit cell a=7.762 b=7.762 c=7.762 alpha=147.29 beta=147.29 gamma=46.93
Element x y z (fractional)
Hf (0.000, 0.500, 0.500)
Hf (0.165, 0.165, 0.000)
Hf (0.500, 0.000, 0.500)
Hf (0.835, 0.835, 0.000)
Ge (0.360, 0.360, 0.000)
Ge (0.640, 0.640, 0.000)
B (0.000, 0.000, 0.000)


The following is a DFT calculation (PBE-GGA) of crystalline Hf5GeB2 at its relaxed geometry.

Calculated formation energy (eV/atom): -0.48
SG: I4/mcm (140)

Unit cell a=7.643 b=7.643 c=7.643 alpha=128.24 beta=128.24 gamma=76.24
Element x y z (fractional)
Hf (0.000, 0.000, 0.000)
Hf (0.026, 0.526, 0.821)
Hf (0.205, 0.026, 0.500)
Hf (0.295, 0.795, 0.821)
Hf (0.474, 0.295, 0.500)
Hf (0.500, 0.500, 0.000)
Hf (0.526, 0.705, 0.500)
Hf (0.705, 0.205, 0.179)
Hf (0.795, 0.974, 0.500)
Hf (0.974, 0.474, 0.179)
Ge (0.250, 0.250, 0.000)
Ge (0.750, 0.750, 0.000)
B (0.147, 0.353, 0.500)
B (0.353, 0.853, 0.206)
B (0.647, 0.147, 0.794)
B (0.853, 0.647, 0.500)


The following is a DFT calculation (PBE-GGA) of crystalline HfGeB2 at its relaxed geometry.

Calculated formation energy (eV/atom): 0.35
SG: I-42d (122)

Unit cell a=5.187 b=5.187 c=5.187 alpha=110.11 beta=110.11 gamma=108.20
Element x y z (fractional)
Hf (0.000, 0.000, 0.000)
Hf (0.750, 0.250, 0.500)
Ge (0.250, 0.750, 0.500)
Ge (0.500, 0.500, 0.000)
B (0.166, 0.625, 0.041)
B (0.375, 0.416, 0.541)
B (0.584, 0.125, 0.959)
B (0.875, 0.834, 0.459)


Magnetization / μB/cell: 0.00; 0.00; 0.00; 0.00; 0.00; 0.00; 0.00; 0.00; 0.00; 0.00; 0.00; 0.00
Volume / Å³ per atom: 12.49; 10.38; 9.54; 17.47; 13.76; 13.13; 27.25; 13.98; 17.03; 19.43; 16.73; 13.42